[1]
First-principles (PBEsol) data for NaCu2Bi2 after structural relaxation, as listed in Alexandria.

a = 6.8459 Å, b = 6.8459 Å, c = 6.8459 Å
α = 142.64°, β = 142.64°, γ = 53.86°
Last column: nearest neighbours and their distance in Å.
Element x y z (fractional)
Na1 0.0000 0.0000 0.0000  8 Bi 3.47, 8 Cu 3.76
Cu1 0.2500 0.7500 0.5000  4 Bi 2.66
Cu2 0.7500 0.2500 0.5000  4 Bi 2.66
Bi1 0.3730 0.3730 0.0000  4 Cu 2.66
Bi2 0.6270 0.6270 0.0000  4 Cu 2.66

V: 23.468 Å³ per atom
polymorph energy (0 for the lowest one): 0.0 kJ/mol of atoms
calculated total energy: -18.25 eV/cell
ΔE_f: 1.8 kcal/mol of atoms
calculated density: 8.0 g cm⁻³



[2]
First-principles (PBEsol) data for Cs2AsAuBr6 after structural relaxation, as listed in Alexandria.

a = 7.6176 Å, b = 7.6176 Å, c = 7.6176 Å
α = 60.00°, β = 60.00°, γ = 60.00°
Last column: nearest neighbours and their distance in Å.
Element x y z (fractional)
Cs1 0.2500 0.2500 0.2500  12 Br 3.81
Cs2 0.7500 0.7500 0.7500  12 Br 3.81
As1 0.0000 0.0000 0.0000  6 Br 2.66
Au1 0.5000 0.5000 0.5000  6 Br 2.73
Br1 0.2468 0.2468 0.7532  1 As 2.66, 1 Au 2.73
Br2 0.2468 0.7532 0.2468  1 As 2.66, 1 Au 2.73
Br3 0.2468 0.7532 0.7532  1 As 2.66, 1 Au 2.73
Br4 0.7532 0.2468 0.2468  1 As 2.66, 1 Au 2.73
Br5 0.7532 0.2468 0.7532  1 As 2.66, 1 Au 2.73
Br6 0.7532 0.7532 0.2468  1 As 2.66, 1 Au 2.73

V: 31.256 Å³ per atom
formation energy from raw total energies: -916 meV per atom
calculated total energy: -31.30 eV/cell
calculated density: 5.4 g cm⁻³



[3]
First-principles (PBEsol) data for LiCo8O16 after structural relaxation, as listed in Alexandria.

a = 6.3664 Å, b = 6.3728 Å, c = 7.3553 Å
α = 75.67°, β = 65.67°, γ = 70.53°
Last column: nearest neighbours and their distance in Å.
Element x y z (fractional)
Li1 0.0000 0.0000 0.0000  6 O 2.12-2.14
Co1 0.0676 0.4433 0.8099  6 O 1.84-1.87
Co2 0.1864 0.3127 0.4382  6 O 1.84-1.88
Co3 0.3184 0.1904 0.0603  6 O 1.84-1.87
Co4 0.4438 0.0666 0.6846  6 O 1.84-1.87
Co5 0.5562 0.9334 0.3154  6 O 1.84-1.87
Co6 0.6816 0.8096 0.9397  6 O 1.84-1.87
Co7 0.8136 0.6873 0.5618  6 O 1.84-1.88
Co8 0.9324 0.5567 0.1901  6 O 1.84-1.87
O1 0.0026 0.2995 0.0746  3 Co 1.86-1.87
O2 0.1236 0.1825 0.7082  3 Co 1.86-1.88
O3 0.1276 0.5694 0.5461  3 Co 1.84-1.85
O4 0.2465 0.0579 0.3272  3 Co 1.84-1.86
O5 0.2485 0.4431 0.1748  3 Co 1.84-1.86
O6 0.3663 0.9341 0.9528  3 Co 1.87
O7 0.3808 0.3225 0.7958  3 Co 1.85-1.86
O8 0.4979 0.8082 0.5794  3 Co 1.84-1.86
O9 0.5021 0.1918 0.4206  3 Co 1.84-1.86
O10 0.6192 0.6775 0.2042  3 Co 1.85-1.86
O11 0.6337 0.0659 0.0472  3 Co 1.87
O12 0.7515 0.5569 0.8252  3 Co 1.84-1.86
O13 0.7535 0.9421 0.6728  3 Co 1.84-1.86
O14 0.8724 0.4306 0.4539  3 Co 1.84-1.85
O15 0.8764 0.8175 0.2918  3 Co 1.86-1.88
O16 0.9974 0.7005 0.9254  3 Co 1.86-1.87

V: 10.170 Å³ per atom
formation energy from raw total energies: -1011 meV per atom
calculated total energy: -173.13 eV/cell
calculated density: 4.8 g cm⁻³



[4]
First-principles (PBEsol) data for AlInAg2 after structural relaxation, as listed in Alexandria.

a = 2.9709 Å, b = 2.9709 Å, c = 8.1311 Å
α = 90.00°, β = 90.00°, γ = 90.00°
Last column: nearest neighbours and their distance in Å.
Element x y z (fractional)
Al1 0.0000 0.0000 0.0000  8 Ag 2.76, 4 Al 2.97
In1 0.0000 0.0000 0.5000  4 In 2.97, 8 Ag 3.09
Ag1 0.5000 0.5000 0.2208  4 Al 2.76, 4 Ag 2.97, 4 In 3.09
Ag2 0.5000 0.5000 0.7792  4 Al 2.76, 4 Ag 2.97, 4 In 3.09

V: 17.942 Å³ per atom
calculated total energy: -13.77 eV/cell
ΔE_f: -0.4 kcal/mol of atoms
calculated density: 8.3 g cm⁻³



Repeat the third record exactly.
First-principles (PBEsol) data for LiCo8O16 after structural relaxation, as listed in Alexandria.

a = 6.3664 Å, b = 6.3728 Å, c = 7.3553 Å
α = 75.67°, β = 65.67°, γ = 70.53°
Last column: nearest neighbours and their distance in Å.
Element x y z (fractional)
Li1 0.0000 0.0000 0.0000  6 O 2.12-2.14
Co1 0.0676 0.4433 0.8099  6 O 1.84-1.87
Co2 0.1864 0.3127 0.4382  6 O 1.84-1.88
Co3 0.3184 0.1904 0.0603  6 O 1.84-1.87
Co4 0.4438 0.0666 0.6846  6 O 1.84-1.87
Co5 0.5562 0.9334 0.3154  6 O 1.84-1.87
Co6 0.6816 0.8096 0.9397  6 O 1.84-1.87
Co7 0.8136 0.6873 0.5618  6 O 1.84-1.88
Co8 0.9324 0.5567 0.1901  6 O 1.84-1.87
O1 0.0026 0.2995 0.0746  3 Co 1.86-1.87
O2 0.1236 0.1825 0.7082  3 Co 1.86-1.88
O3 0.1276 0.5694 0.5461  3 Co 1.84-1.85
O4 0.2465 0.0579 0.3272  3 Co 1.84-1.86
O5 0.2485 0.4431 0.1748  3 Co 1.84-1.86
O6 0.3663 0.9341 0.9528  3 Co 1.87
O7 0.3808 0.3225 0.7958  3 Co 1.85-1.86
O8 0.4979 0.8082 0.5794  3 Co 1.84-1.86
O9 0.5021 0.1918 0.4206  3 Co 1.84-1.86
O10 0.6192 0.6775 0.2042  3 Co 1.85-1.86
O11 0.6337 0.0659 0.0472  3 Co 1.87
O12 0.7515 0.5569 0.8252  3 Co 1.84-1.86
O13 0.7535 0.9421 0.6728  3 Co 1.84-1.86
O14 0.8724 0.4306 0.4539  3 Co 1.84-1.85
O15 0.8764 0.8175 0.2918  3 Co 1.86-1.88
O16 0.9974 0.7005 0.9254  3 Co 1.86-1.87

V: 10.170 Å³ per atom
formation energy from raw total energies: -1011 meV per atom
calculated total energy: -173.13 eV/cell
calculated density: 4.8 g cm⁻³